Record 1
Here is a geometry-optimized TlCu2Re structure from Alexandria via LeMat-Bulk. Energies are from GGA-PBEsol.

Values from the calculation:
The crystal system is monoclinic. As for the calculated formation energy: 2.6 eV per formula unit.

Geometry as CIF:
```
data_TlCu2Re
_chemical_formula_sum 'Tl1 Cu2 Re1'
_symmetry_space_group_name_H-M 'P 1'
_symmetry_Int_Tables_number 1
_cell_length_a 4.7109
_cell_length_b 4.7109
_cell_length_c 4.9784
_cell_angle_alpha 98.78
_cell_angle_beta 98.78
_cell_angle_gamma 34.35
loop_
_symmetry_equiv_pos_as_xyz
'x,y,z'
loop_
_atom_site_label
_atom_site_fract_x
_atom_site_fract_y
_atom_site_fract_z
Tl1 0.0000 0.0000 0.0000
Cu1 0.2409 0.2409 0.7030
Cu2 0.7591 0.7591 0.2970
Re1 0.5000 0.5000 0.5000
```


Record 2
Here is a geometry-optimized Tl2CuRe structure from Alexandria via LeMat-Bulk. Energies are from GGA-PBEsol.

Values from the calculation:
The crystal system is tetragonal. As for the calculated formation energy: 3.4 eV per formula unit.

Geometry as CIF:
```
data_Tl2CuRe
_chemical_formula_sum 'Tl2 Cu1 Re1'
_symmetry_space_group_name_H-M 'P 1'
_symmetry_Int_Tables_number 1
_cell_length_a 4.6122
_cell_length_b 4.6122
_cell_length_c 3.3252
_cell_angle_alpha 90.00
_cell_angle_beta 90.00
_cell_angle_gamma 90.00
loop_
_symmetry_equiv_pos_as_xyz
'x,y,z'
loop_
_atom_site_label
_atom_site_fract_x
_atom_site_fract_y
_atom_site_fract_z
Tl1 0.0000 0.5000 0.0000
Tl2 0.5000 0.0000 0.0000
Cu1 0.0000 0.0000 0.5000
Re1 0.5000 0.5000 0.5000
```


- calculated formation energy of number 2 (Tl2CuRe)?
  3.4 eV per formula unit


- calculated formation energy of number 2 (Tl2CuRe)?
  3.4 eV per formula unit